[1]
Pd2S3 GGA-PBE optimized geometry; calculated total energy = -4.69 eV per atom; space-group type = No. 11; volume = 18.16 A^3/atom
1.0
6.1012 0.0000 0.0000
0.0000 3.5924 0.0000
-1.6448 0.0000 8.2865
S Pd
6 4
Direct
0.9495 0.2500 0.1476
0.7724 0.2500 0.5039
0.0505 0.7500 0.8524
0.2276 0.7500 0.4961
0.5260 0.2500 0.8157
0.4740 0.7500 0.1843
0.7151 0.7500 0.9786
0.8593 0.7500 0.3348
0.2849 0.2500 0.0214
0.1406 0.2500 0.6652


[2]
TbFe GGA-PBE optimized geometry; calculated total energy = -5.47 eV per atom; space-group type = No. 194; energy relative to the elements = 2.0 eV per formula unit; volume = 26.52 A^3/atom
1.0
-4.0505 2.1329 1.1564
0.0656 -3.2393 -3.4344
-1.0188 -3.9382 3.6949
Fe Tb
2 2
Direct
0.0000 0.0000 0.9375
0.3333 0.6667 0.4375
0.3333 0.6667 0.9375
0.0000 0.0000 0.4375


[3]
LaNdPO GGA-PBE optimized geometry; calculated total energy = -6.98 eV per atom; space-group type = No. 26; volume = 25.24 A^3/atom
1.0
4.3348 0.0000 0.0000
0.0000 7.9799 0.0000
0.0000 0.0000 5.8372
O P La Nd
2 2 2 2
Direct
0.0000 0.3244 0.3965
0.0000 0.6756 0.8965
0.5000 0.8437 0.4393
0.5000 0.1563 0.9393
0.0000 0.6232 0.4780
0.0000 0.3768 0.9780
0.5000 0.8055 0.9402
0.5000 0.1945 0.4402


[4]
SrNdP2Pd2 GGA-PBE optimized geometry; calculated total energy = -5.75 eV per atom; space-group type = No. 164; volume = 21.30 A^3/atom
1.0
-2.9031 -3.0226 -0.3691
3.2477 -0.5119 2.6251
-4.4178 3.4924 6.1466
P Nd Pd Sr
2 1 2 1
Direct
0.6667 0.3333 0.0161
0.3333 0.6667 0.4835
0.0000 0.0000 0.2501
0.6667 0.3333 0.4905
0.3333 0.6667 0.0098
0.0000 0.0000 0.7500


[5]
HoErS4 GGA-PBE optimized geometry; calculated total energy = -6.00 eV per atom; space-group type = No. 8; volume = 22.55 A^3/atom
1.0
4.3834 -2.1562 0.0000
4.3834 2.1562 0.0000
-0.7015 0.0000 7.1564
Ho S Er
1 4 1
Direct
0.8229 0.8229 0.2786
0.8622 0.8622 0.6571
0.3921 0.3921 0.0478
0.1377 0.1377 0.3444
0.6077 0.6077 0.9507
0.1773 0.1773 0.7214


[6]
TbGeAsO GGA-PBE optimized geometry; calculated total energy = -6.04 eV per atom; space-group type = No. 26; volume = 18.68 A^3/atom
1.0
-0.2439 -1.8995 -3.7816
3.2519 -4.3035 1.9519
-5.0505 -2.9879 1.8266
Tb Ge As O
2 2 2 2
Direct
0.5000 0.2396 0.0907
0.5000 0.7604 0.5907
0.0000 0.6312 0.9625
0.0000 0.3688 0.4625
0.0000 0.0816 0.7880
0.0000 0.9184 0.2880
0.5000 0.4193 0.4127
0.5000 0.5807 0.9127